(1)
# TmThPS | Alexandria via LeMat-Bulk | GGA-PBE | relaxed
data_TmThPS
_chemical_formula_sum 'Tm1 Th1 P1 S1'
_space_group_name_H-M_alt 'P 1'
_space_group_IT_number 1
_cell_length_a 3.908
_cell_length_b 3.909
_cell_length_c 7.368
_cell_angle_alpha 90.00
_cell_angle_beta 105.36
_cell_angle_gamma 120.00
loop_
_space_group_symop_operation_xyz
'x,y,z'
loop_
_atom_site_label
_atom_site_fract_x
_atom_site_fract_y
_atom_site_fract_z
Th1 0.123 0.959 0.097
S1 0.976 0.386 0.377
Tm1 0.484 0.140 0.640
P1 0.295 0.545 0.855
# SG = No. 160
# ΔE_f (raw) = -1.646 eV per atom

(2)
# CaGa2NiAg | Alexandria via LeMat-Bulk | GGA-PBE | relaxed
data_CaGa2NiAg
_chemical_formula_sum 'Ca1 Ga2 Ni1 Ag1'
_space_group_name_H-M_alt 'P 1'
_space_group_IT_number 1
_cell_length_a 4.542
_cell_length_b 4.542
_cell_length_c 5.029
_cell_angle_alpha 90.00
_cell_angle_beta 90.00
_cell_angle_gamma 90.00
loop_
_space_group_symop_operation_xyz
'x,y,z'
loop_
_atom_site_label
_atom_site_fract_x
_atom_site_fract_y
_atom_site_fract_z
Ga1 0.000 0.500 0.000
Ga2 0.500 0.000 0.000
Ag1 0.000 0.000 0.500
Ni1 0.000 0.000 0.000
Ca1 0.500 0.500 0.500
# SG = No. 123
# Energy above the most stable polymorph in this dataset = 0 meV per atom
# E_form = -1.18 eV/f.u.

(3)
# Th2ZnFeCu | Alexandria via LeMat-Bulk | GGA-PBE | relaxed
data_Th2ZnFeCu
_chemical_formula_sum 'Th4 Zn2 Fe2 Cu2'
_space_group_name_H-M_alt 'P 1'
_space_group_IT_number 1
_cell_length_a 4.150
_cell_length_b 7.086
_cell_length_c 7.380
_cell_angle_alpha 105.20
_cell_angle_beta 90.00
_cell_angle_gamma 90.00
loop_
_space_group_symop_operation_xyz
'x,y,z'
loop_
_atom_site_label
_atom_site_fract_x
_atom_site_fract_y
_atom_site_fract_z
Zn1 0.750 0.356 0.649
Zn2 0.250 0.644 0.351
Fe1 0.250 0.877 0.905
Fe2 0.750 0.123 0.095
Cu1 0.750 0.442 0.326
Cu2 0.250 0.558 0.674
Th1 0.750 0.878 0.651
Th2 0.250 0.277 0.944
Th3 0.250 0.122 0.349
Th4 0.750 0.723 0.056
# SG = No. 11
# E_form = -0.63 eV/f.u.

(4)
# CoCu2Sb2 | Alexandria via LeMat-Bulk | GGA-PBE | relaxed
data_CoCu2Sb2
_chemical_formula_sum 'Co2 Cu4 Sb4'
_space_group_name_H-M_alt 'P 1'
_space_group_IT_number 1
_cell_length_a 6.757
_cell_length_b 6.757
_cell_length_c 3.959
_cell_angle_alpha 90.00
_cell_angle_beta 90.00
_cell_angle_gamma 90.00
loop_
_space_group_symop_operation_xyz
'x,y,z'
loop_
_atom_site_label
_atom_site_fract_x
_atom_site_fract_y
_atom_site_fract_z
Sb1 0.834 0.666 0.000
Sb2 0.334 0.834 0.000
Sb3 0.666 0.166 0.000
Sb4 0.166 0.334 0.000
Co1 0.500 0.500 0.000
Co2 0.000 0.000 0.000
Cu1 0.132 0.632 0.500
Cu2 0.632 0.868 0.500
Cu3 0.868 0.368 0.500
Cu4 0.368 0.132 0.500
# SG = No. 127
# ΔE_f (raw) = 0.315 eV per atom

(5)
# CuTeO4 | Alexandria via LeMat-Bulk | GGA-PBE | relaxed
data_CuTeO4
_chemical_formula_sum 'Cu4 Te4 O16'
_space_group_name_H-M_alt 'P 1'
_space_group_IT_number 1
_cell_length_a 4.794
_cell_length_b 5.596
_cell_length_c 10.518
_cell_angle_alpha 90.00
_cell_angle_beta 90.00
_cell_angle_gamma 90.84
loop_
_space_group_symop_operation_xyz
'x,y,z'
loop_
_atom_site_label
_atom_site_fract_x
_atom_site_fract_y
_atom_site_fract_z
Cu1 0.000 0.000 0.000
Cu2 0.000 0.000 0.500
Cu3 0.500 0.500 0.500
Cu4 0.500 0.500 0.000
Te1 0.548 0.792 0.248
Te2 0.952 0.708 0.748
Te3 0.452 0.208 0.752
Te4 0.048 0.292 0.252
O1 0.215 0.270 0.419
O2 0.851 0.257 0.096
O3 0.304 0.531 0.169
O4 0.804 0.031 0.331
O5 0.708 0.967 0.818
O6 0.792 0.533 0.318
O7 0.649 0.243 0.596
O8 0.149 0.743 0.904
O9 0.196 0.969 0.669
O10 0.785 0.730 0.581
O11 0.292 0.033 0.182
O12 0.285 0.230 0.919
O13 0.696 0.469 0.831
O14 0.715 0.770 0.081
O15 0.351 0.757 0.404
O16 0.208 0.467 0.682
# SG = No. 14
# ΔE_f (raw) = -0.760 eV per atom

(6)
# Tb3NbP2Rh9 | Alexandria via LeMat-Bulk | GGA-PBE | relaxed
data_Tb3NbP2Rh9
_chemical_formula_sum 'Tb3 Nb1 P2 Rh9'
_space_group_name_H-M_alt 'P 1'
_space_group_IT_number 1
_cell_length_a 5.933
_cell_length_b 5.933
_cell_length_c 9.195
_cell_angle_alpha 90.00
_cell_angle_beta 90.00
_cell_angle_gamma 120.00
loop_
_space_group_symop_operation_xyz
'x,y,z'
loop_
_atom_site_label
_atom_site_fract_x
_atom_site_fract_y
_atom_site_fract_z
Rh1 0.681 0.841 0.295
Rh2 0.159 0.841 0.295
Rh3 0.319 0.159 0.705
Rh4 0.500 0.000 0.000
Rh5 0.159 0.319 0.295
Rh6 0.500 0.500 0.000
Rh7 0.841 0.681 0.705
Rh8 0.841 0.159 0.705
Rh9 0.000 0.500 0.000
P1 0.333 0.667 0.155
P2 0.667 0.333 0.845
Tb1 0.667 0.333 0.375
Tb2 0.000 0.000 0.000
Tb3 0.333 0.667 0.625
Nb1 0.000 0.000 0.500
# SG = No. 164
# E_form = -8.67 eV/f.u.